# 1
The following is a PBE calculation of crystalline LaNbGe at its relaxed geometry, from the Alexandria database.

Values from the calculation:
E	-40.54	eV per cell
Fermi-level density of states	3.67	states/eV/cell
E_form	-5.02	kcal/mol of atoms

abc: 3.6240 3.6240 10.7288
angles: 90.00 90.00 90.00
With the nearest neighbours (Å) after each atom.
Space group I4mm (No. 107)
Symmetry-distinct sites (fractional):
La 0.0000 0.0000 0.0000  1 Nb 3.03, 1 Ge 3.11
Nb 0.0000 0.0000 0.2828  4 Ge 2.68
Ge 0.0000 0.0000 0.7103  4 Nb 2.68

# 2
The following is a PBE calculation of crystalline La2Pr6NdEr3 at its relaxed geometry, from the Alexandria database.

Values from the calculation:
E	-113.52	eV per cell
Fermi-level density of states	34.03	states/eV/cell
E_form	0.44	kcal/mol of atoms

abc: 6.3663 11.0366 12.0884
angles: 90.00 100.11 90.00
With the nearest neighbours (Å) after each atom.
Space group C2/m (No. 12)
Symmetry-distinct sites (fractional):
La 0.0000 0.1665 0.0000  3 La 3.67-3.68, 3 Nd 3.68, 6 Pr 3.72
Pr 0.2474 0.5000 0.7434  3 Er 3.59, 6 Pr 3.67-3.68, 1 Nd 3.72, 2 La 3.72
Pr 0.2477 0.1666 0.7434  3 Er 3.59, 6 Pr 3.67-3.68, 2 La 3.72, 1 Nd 3.72
Nd 0.0000 0.5000 0.0000  6 La 3.68, 6 Pr 3.72
Er 0.0000 0.0000 0.5000  6 Pr 3.59, 6 Er 3.68
Er 0.0000 0.3335 0.5000  6 Pr 3.59, 6 Er 3.67-3.68

# 3
The following is a PBE calculation of crystalline U3Ni at its relaxed geometry, from the Alexandria database.

Values from the calculation:
E	-79.02	eV per cell
Fermi-level density of states	18.71	states/eV/cell
E_form	0.77	kcal/mol of atoms

abc: 2.8669 10.5503 4.8642
angles: 90.00 90.00 90.00
With the nearest neighbours (Å) after each atom.
Space group Imm2 (No. 44)
Symmetry-distinct sites (fractional):
U 0.0000 0.0000 0.0000  2 Ni 2.64, 4 U 2.69-2.87
U 0.0000 0.2131 0.6977  7 U 2.69-2.93, 2 Ni 2.92
Ni 0.0000 0.5000 0.9550  6 U 2.64-2.92, 2 Ni 2.87

# 4
The following is a PBE calculation of crystalline LaMg2Ag3 at its relaxed geometry, from the Alexandria database.

Values from the calculation:
E	-71.35	eV per cell
Fermi-level density of states	14.75	states/eV/cell
E_form	-4.49	kcal/mol of atoms

abc: 10.3378 9.3541 5.7472
angles: 90.00 90.00 90.00
With the nearest neighbours (Å) after each atom.
Space group Cmcm (No. 63)
Symmetry-distinct sites (fractional):
La 0.0000 0.2021 0.2500  7 Ag 3.24-3.41
Mg 0.2287 0.5000 0.0000  6 Ag 2.74-2.98, 2 Mg 2.87
Ag 0.0000 0.4518 0.7500  4 Ag 2.79-3.01, 4 Mg 2.80
Ag 0.1762 0.2266 0.7500  4 Mg 2.74-2.98, 1 Ag 2.79

# 5
The following is a PBE calculation of crystalline Pr7InRh2 at its relaxed geometry, from the Alexandria database.

Values from the calculation:
E	-105.56	eV per cell
Fermi-level density of states	17.29	states/eV/cell
E_form	-4.34	kcal/mol of atoms

abc: 9.3204 14.1290 5.3696
angles: 90.00 90.00 90.00
With the nearest neighbours (Å) after each atom.
Space group Cmmm (No. 65)
Symmetry-distinct sites (fractional):
Pr 0.0000 0.0000 0.0000  2 Rh 2.84
Pr 0.0000 0.2133 0.5000  2 Rh 2.69
Pr 0.1821 0.3729 0.0000  2 Rh 2.96-3.14
In 0.0000 0.5000 0.5000  10 Pr 3.65-4.05
Rh 0.0000 0.2010 0.0000  5 Pr 2.69-2.96

# 6
The following is a PBE calculation of crystalline Pm4SbTe2P at its relaxed geometry, from the Alexandria database.

Values from the calculation:
E	-46.33	eV per cell
Fermi-level density of states	3.91	states/eV/cell
formation energy without anion corrections	-1.44	eV per atom

abc: 7.5966 4.3521 7.7077
angles: 90.00 108.97 90.00
With the nearest neighbours (Å) after each atom.
Space group P2/m (No. 10)
Symmetry-distinct sites (fractional):
Pm 0.2246 0.0000 0.2193  2 P 2.94, 1 Sb 3.09, 1 Te 3.16
Pm 0.2397 0.5000 0.7713  1 P 2.92, 2 Sb 3.08, 2 Te 3.15
Sb 0.5000 0.0000 0.0000  6 Pm 3.08-3.09
Te 0.0000 0.0000 0.5000  6 Pm 3.15-3.16
Te 0.5000 0.5000 0.5000  6 Pm 3.29-3.31
P 0.0000 0.5000 0.0000  6 Pm 2.92-2.94

# 7
The following is a PBE calculation of crystalline Sc3Si2Pd at its relaxed geometry, from the Alexandria database.

Values from the calculation:
E	-159.19	eV per cell
Fermi-level density of states	15.74	states/eV/cell
formation energy without anion corrections	-0.79	eV per atom

abc: 10.8340 4.1456 10.1022
angles: 90.00 90.00 90.00
With the nearest neighbours (Å) after each atom.
Space group Pnma (No. 62)
Symmetry-distinct sites (fractional):
Sc 0.0472 0.2500 0.1250  1 Pd 2.72, 5 Si 2.77-2.88
Sc 0.1354 0.7500 0.5754  5 Si 2.82-2.97, 3 Pd 2.84-2.86, 1 Sc 3.11
Sc 0.2156 0.2500 0.8126  4 Si 2.74-3.00, 2 Pd 2.80
Si 0.0079 0.7500 0.3148  2 Pd 2.51, 1 Sc 2.74
Si 0.1839 0.7500 0.0162  1 Pd 2.49, 2 Sc 2.77
Pd 0.1235 0.2500 0.3814  3 Si 2.49-2.51, 1 Sc 2.72

# 8
The following is a PBE calculation of crystalline TcSeCl2 at its relaxed geometry, from the Alexandria database.

Values from the calculation:
E	-33.45	eV per cell
Fermi-level density of states	4.92	states/eV/cell
formation energy without anion corrections	0.20	eV per atom

abc: 3.2223 6.4019 9.0442
angles: 90.00 90.00 90.00
With the nearest neighbours (Å) after each atom.
Space group Cmm2 (No. 35)
Symmetry-distinct sites (fractional):
Tc 0.0000 0.0000 0.0000  2 Se 2.36, 2 Cl 2.45
Se 0.0000 0.5000 0.8095  2 Tc 2.36
Cl 0.0000 0.0000 0.5667  2 Se 2.72
Cl 0.0000 0.5000 0.2035  2 Tc 2.45

# 9
The following is a PBE calculation of crystalline La2Cu2Cl at its relaxed geometry, from the Alexandria database.

Values from the calculation:
E	-47.53	eV per cell
Fermi-level density of states	10.84	states/eV/cell
formation energy without anion corrections	-0.77	eV per atom

abc: 7.4630 4.2322 7.8333
angles: 90.00 107.14 90.00
With the nearest neighbours (Å) after each atom.
Space group C2/m (No. 12)
Symmetry-distinct sites (fractional):
La 0.0929 0.0000 0.2560  6 Cu 3.06-3.22, 3 Cl 3.06-3.08
Cu 0.1663 0.5000 0.0033  3 Cu 2.47
Cl 0.0000 0.5000 0.5000  6 La 3.06-3.08

# 10
The following is a PBE calculation of crystalline LiIn2PbS4 at its relaxed geometry, from the Alexandria database.

Values from the calculation:
E	-130.05	eV per cell
Fermi-level density of states	8.24	states/eV/cell
formation energy without anion corrections	-0.61	eV per atom

abc: 3.9031 13.0479 13.8857
angles: 90.00 90.00 90.00
With the nearest neighbours (Å) after each atom.
Space group Cmcm (No. 63)
Symmetry-distinct sites (fractional):
Li 0.0000 0.1510 0.2500  4 S 2.37-2.38
In 0.0000 0.3692 0.5573  6 S 2.71-2.88
Pb 0.0000 0.1150 0.7500  6 S 2.89-3.15
S 0.0000 0.0000 0.0000  4 In 2.71
S 0.0000 0.2625 0.1140  1 Li 2.38
S 0.0000 0.4518 0.7500  2 Li 2.37

# 11
The following is a PBE calculation of crystalline Tb2YHo4Tm2 at its relaxed geometry, from the Alexandria database.

Values from the calculation:
E	-85.87	eV per cell
Fermi-level density of states	24.91	states/eV/cell
E_form	0.12	kcal/mol of atoms

abc: 18.5190 3.5672 9.4491
angles: 90.00 115.78 90.00
With the nearest neighbours (Å) after each atom.
Space group C2/m (No. 12)
Symmetry-distinct sites (fractional):
Tb 0.1481 0.0000 0.1672  3 Tm 3.49-3.50, 7 Ho 3.50-3.57, 2 Tb 3.57
Y 0.0000 0.0000 0.5000  6 Ho 3.51, 2 Y 3.57, 4 Tm 3.57
Ho 0.0189 0.5000 0.8344  5 Ho 3.49-3.57, 4 Tb 3.50-3.56, 2 Y 3.51, 1 Tm 3.52
Ho 0.1854 0.0000 0.8338  6 Ho 3.50-3.57, 2 Tm 3.50, 3 Tb 3.51-3.57, 1 Y 3.51
Tm 0.1673 0.5000 0.5007  3 Tb 3.49-3.50, 3 Ho 3.50-3.52, 4 Tm 3.55-3.57, 2 Y 3.57

# 12
The following is a PBE calculation of crystalline Ce6FeOsPb2 at its relaxed geometry, from the Alexandria database.

Values from the calculation:
E	-130.17	eV per cell
Fermi-level density of states	58.86	states/eV/cell
E_form	-5.48	kcal/mol of atoms

abc: 7.5056 7.5056 10.2521
angles: 90.00 90.00 90.00
With the nearest neighbours (Å) after each atom.
Space group I4/mmm (No. 139)
Symmetry-distinct sites (fractional):
Ce 0.0000 0.0000 0.2341  1 Fe 2.40
Ce 0.2472 0.2472 0.0000  1 Fe 2.62, 1 Os 2.68
Fe 0.0000 0.0000 0.0000  6 Ce 2.40-2.62
Os 0.0000 0.0000 0.5000  6 Ce 2.68-2.73
Pb 0.0000 0.5000 0.2500  12 Ce 3.69-3.76

# 13
The following is a PBE calculation of crystalline TmZnSi at its relaxed geometry, from the Alexandria database.

Values from the calculation:
E	-48.45	eV per cell
Fermi-level density of states	6.41	states/eV/cell
formation energy without anion corrections	-0.31	eV per atom

abc: 3.8358 15.8996 4.3024
angles: 90.00 90.00 90.00
With the nearest neighbours (Å) after each atom.
Space group Cmcm (No. 63)
Symmetry-distinct sites (fractional):
Tm 0.0000 0.1708 0.2500  5 Si 2.91, 2 Zn 2.99
Zn 0.0000 0.0401 0.7500  2 Zn 2.50, 2 Si 2.56
Si 0.0000 0.3537 0.2500  2 Zn 2.56

# 14
The following is a PBE calculation of crystalline SrPrHg4 at its relaxed geometry, from the Alexandria database.

Values from the calculation:
E	-37.69	eV per cell
Fermi-level density of states	21.90	states/eV/cell
E_form	-6.75	kcal/mol of atoms

abc: 8.6827 8.6827 8.6827
angles: 90.00 90.00 90.00
With the nearest neighbours (Å) after each atom.
Space group F-43m (No. 216)
Symmetry-distinct sites (fractional):
Sr 0.0000 0.0000 0.0000  12 Hg 3.60, 4 Pr 3.76
Pr 0.2500 0.2500 0.2500  12 Hg 3.60, 4 Sr 3.76
Hg 0.1246 0.1246 0.6246  6 Hg 3.06-3.08

# 15
The following is a PBE calculation of crystalline Tb5Pm5Pr2 at its relaxed geometry, from the Alexandria database.

Values from the calculation:
E	-112.56	eV per cell
Fermi-level density of states	35.70	states/eV/cell
E_form	0.35	kcal/mol of atoms

abc: 15.3872 5.1167 11.4736
angles: 90.00 116.60 90.00
With the nearest neighbours (Å) after each atom.
Space group C2/m (No. 12)
Symmetry-distinct sites (fractional):
Tb 0.0000 0.0000 0.0000  6 Pm 3.62-3.65, 4 Pr 3.63, 2 Tb 3.64
Tb 0.0835 0.0000 0.7496  7 Pm 3.61-3.63, 3 Tb 3.62-3.64, 2 Pr 3.62
Tb 0.1668 0.0000 0.5007  5 Pm 3.60-3.63, 4 Tb 3.62-3.63, 3 Pr 3.62
Pm 0.0000 0.5000 0.5000  2 Pm 3.60, 2 Pr 3.62, 8 Tb 3.62
Pm 0.1663 0.5000 0.9994  2 Pr 3.62-3.64, 5 Tb 3.62-3.63, 5 Pm 3.63-3.64
Pm 0.2485 0.5000 0.7482  4 Pm 3.60-3.64, 6 Tb 3.60-3.65, 2 Pr 3.64
Pr 0.0830 0.5000 0.2506  5 Pm 3.62-3.64, 7 Tb 3.62-3.63

# 16
The following is a PBE calculation of crystalline HoCoOs at its relaxed geometry, from the Alexandria database.

Values from the calculation:
E	-95.10	eV per cell
Fermi-level density of states	12.51	states/eV/cell
E_form	-6.62	kcal/mol of atoms

abc: 5.1107 5.2297 7.4348
angles: 90.00 90.00 90.00
With the nearest neighbours (Å) after each atom.
Space group Imma (No. 74)
Symmetry-distinct sites (fractional):
Ho 0.0000 0.2500 0.1228  6 Co 3.01-3.09, 6 Os 3.05-3.06, 4 Ho 3.18-3.19
Co 0.0000 0.0000 0.5000  4 Os 2.61, 2 Co 2.61
Os 0.2500 0.2500 0.7500  2 Os 2.56, 4 Co 2.61

# 17
The following is a PBE calculation of crystalline V2MoIr at its relaxed geometry, from the Alexandria database.

Values from the calculation:
E	-39.10	eV per cell
Fermi-level density of states	4.02	states/eV/cell
E_form	-6.75	kcal/mol of atoms

abc: 3.0530 3.0530 6.1125
angles: 90.00 90.00 90.00
With the nearest neighbours (Å) after each atom.
Space group P4/mmm (No. 123)
Symmetry-distinct sites (fractional):
V 0.0000 0.0000 0.2393  4 Mo 2.61, 4 Ir 2.68
Mo 0.5000 0.5000 0.0000  8 V 2.61
Ir 0.5000 0.5000 0.5000  8 V 2.68

# 18
The following is a PBE calculation of crystalline AcIn2As2Pd7 at its relaxed geometry, from the Alexandria database.

Values from the calculation:
E	-122.09	eV per cell
Fermi-level density of states	12.99	states/eV/cell
E_form	-11.17	kcal/mol of atoms

abc: 5.9760 7.8123 9.7769
angles: 90.00 90.00 90.00
With the nearest neighbours (Å) after each atom.
Space group Cmmm (No. 65)
Symmetry-distinct sites (fractional):
Ac 0.0000 0.0000 0.0000  10 Pd 2.99-3.25
In 0.0000 0.0000 0.3587  1 In 2.76, 6 Pd 2.81-2.82
As 0.0000 0.5000 0.2726  7 Pd 2.52-2.67
Pd 0.0000 0.3126 0.5000  2 As 2.66, 2 In 2.81, 1 Pd 2.93
Pd 0.0000 0.5000 0.0000  2 As 2.67
Pd 0.2500 0.2500 0.2175  2 As 2.52

# 19
The following is a PBE calculation of crystalline YFeB14 at its relaxed geometry, from the Alexandria database.

Values from the calculation:
E	-443.45	eV per cell
Fermi-level density of states	11.88	states/eV/cell
E_form	-3.53	kcal/mol of atoms

abc: 5.8407 10.5863 8.2645
angles: 90.00 90.00 90.00
With the nearest neighbours (Å) after each atom.
Space group Imma (No. 74)
Symmetry-distinct sites (fractional):
Y 0.0000 0.2500 0.1317  6 B 2.48-2.76
Fe 0.2500 0.2500 0.7500  8 B 2.14-2.35
B 0.0000 0.0881 0.6686  6 B 1.74-1.87
B 0.0000 0.1356 0.8697  3 B 1.73-1.74
B 0.0000 0.1667 0.4655  6 B 1.76-1.87
B 0.1608 0.0600 0.3386  6 B 1.80-1.88
B 0.2481 0.0798 0.5471  6 B 1.73-1.86

# 20
The following is a PBE calculation of crystalline Zr3Te3P at its relaxed geometry, from the Alexandria database.

Values from the calculation:
E	-95.88	eV per cell
Fermi-level density of states	5.80	states/eV/cell
formation energy without anion corrections	-1.07	eV per atom

abc: 8.1459 3.9121 11.2002
angles: 90.00 90.25 90.00
With the nearest neighbours (Å) after each atom.
Space group P2_1/m (No. 11)
Symmetry-distinct sites (fractional):
Zr 0.0972 0.2500 0.1136  3 P 2.60-2.61
Zr 0.1129 0.2500 0.6522  1 P 2.57
Zr 0.3211 0.7500 0.8807  2 P 2.58, 1 Te 2.89
Te 0.1515 0.2500 0.3786  4 Zr 2.93-3.08
Te 0.3735 0.7500 0.6256  3 Zr 2.89-2.90
Te 0.3849 0.7500 0.1375  5 Zr 2.92-3.10
P 0.1143 0.2500 0.8814  6 Zr 2.57-2.61